No. 1
Computed, not measured: a relaxed Tm6Cu5Pt crystal at the GGA-PBE level of DFT.

Unit cell a=4.833 b=6.844 c=7.673 alpha=90.00 beta=108.35 gamma=90.00
Space group P2/m (No. 10)
One atom of each set of equivalent atoms:
1 Tm 0.000 0.249 0.000 x2
2 Tm 0.334 0.250 0.668 x4
3 Cu 0.165 0.500 0.329 x2
4 Cu 0.170 0.000 0.343 x2
5 Cu 0.500 0.500 0.000 x1
6 Pt 0.500 0.000 0.000 x1

As for the energy relative to the elements: -475.4 meV/atom. The total energy is -4.921 eV/atom.

No. 2
Computed, not measured: a relaxed Tb2Pm4DyY2 crystal at the GGA-PBE level of DFT.

Unit cell a=18.715 b=3.599 c=8.835 alpha=90.00 beta=90.05 gamma=90.00
Space group C2/m (No. 12)
One atom of each set of equivalent atoms:
1 Tb 0.111 0.000 0.332 x4
2 Pm 0.055 0.500 0.669 x4
3 Pm 0.223 0.000 0.668 x4
4 Dy 0.000 0.000 0.000 x2
5 Y 0.166 0.500 0.001 x4

As for the energy relative to the elements: 15.7 meV/atom. The total energy is -5.072 eV/atom.

No. 3
Computed, not measured: a relaxed Co2B4Mo crystal at the GGA-PBE level of DFT.

Unit cell a=3.028 b=3.073 c=12.448 alpha=90.00 beta=90.00 gamma=90.00
Space group Immm (No. 71)
One atom of each set of equivalent atoms:
1 Co 0.000 0.000 0.185 x4
2 B 0.000 0.000 0.348 x4
3 B 0.000 0.500 0.075 x4
4 Mo 0.000 0.500 0.500 x2

As for the energy relative to the elements: -405.1 meV/atom. The total energy is -7.798 eV/atom.

No. 4
Computed, not measured: a relaxed AlCdMo2 crystal at the GGA-PBE level of DFT.

Unit cell a=3.194 b=4.650 c=9.252 alpha=90.00 beta=90.00 gamma=90.00
Space group Cmm2 (No. 35)
One atom of each set of equivalent atoms:
1 Al 0.000 0.000 0.000 x2
2 Cd 0.000 0.500 0.728 x2
3 Mo 0.000 0.000 0.457 x2
4 Mo 0.000 0.500 0.230 x2

As for the energy relative to the elements: 146.2 meV/atom. The total energy is -6.434 eV/atom.

No. 5
Computed, not measured: a relaxed NaMgCdHg crystal at the GGA-PBE level of DFT.

Unit cell a=7.202 b=7.202 c=7.202 alpha=90.00 beta=90.00 gamma=90.00
Space group F-43m (No. 216)
One atom of each set of equivalent atoms:
1 Na 0.000 0.000 0.000 x4
2 Mg 0.000 0.000 0.500 x4
3 Cd 0.250 0.250 0.750 x4
4 Hg 0.250 0.250 0.250 x4

As for the energy relative to the elements: -147.3 meV/atom. The total energy is -1.180 eV/atom.

No. 6
Computed, not measured: a relaxed Ti4Al2Zn crystal at the GGA-PBE level of DFT.

Unit cell a=4.515 b=4.515 c=13.867 alpha=90.00 beta=90.00 gamma=90.00
Space group I4/mmm (No. 139)
One atom of each set of equivalent atoms:
1 Ti 0.000 0.000 0.177 x4
2 Ti 0.000 0.500 0.000 x4
3 Al 0.000 0.000 0.373 x4
4 Zn 0.000 0.000 0.000 x2

As for the energy relative to the elements: 509.6 meV/atom. The total energy is -5.253 eV/atom.

Which value of energy relative to the elements does entry 6 give? 509.6 meV/atom

Which formula does entry 3 have? Co2B4Mo

Among the records above, which one has the highest energy relative to the elements? Ti4Al2Zn

energy relative to the elements of number 6 (Ti4Al2Zn)? 509.6 meV/atom